P:
First-principles (PBE) data for a geometry-optimized Ag2SeO4 structure, as listed in Alexandria via LeMat-Bulk.

a b c (Å): 5.6307 4.6662 5.6991
angles (deg): 64.91 48.64 66.45
With the nearest neighbours (Å) after each atom.
Sites, in units of the cell vectors:
Ag  0.0000  0.0000  0.5000  6 O 2.33-2.37
Ag  0.5000  0.5000  0.0000  6 O 2.33-2.37
Se  0.2414  0.2414  0.7586  2 O 1.74
O  0.0262  0.4670  0.5330  1 Se 2.03
O  0.2730  0.8702  0.7270  1 Se 1.74
O  0.4670  0.0262  0.9738  1 Se 2.03
O  0.8702  0.2730  0.1298  1 Se 1.74

Its space group is Fmm2 (42). The density of states at the Fermi level comes out at 4.01 states/eV/f.u. The value obtained for the total magnetization is 0.000 μB/atom. Its crystal system is orthorhombic.

Q:
First-principles (PBE) data for a geometry-optimized Ag2SeO4 structure, as listed in Alexandria via LeMat-Bulk.

a b c (Å): 5.4348 5.4348 5.4348
angles (deg): 111.54 111.54 105.41
With the nearest neighbours (Å) after each atom.
Sites, in units of the cell vectors:
Ag  0.2500  0.7500  0.5000  4 O 2.40
Ag  0.7500  0.2500  0.5000  4 O 2.40
Se  0.0000  0.0000  0.0000  4 O 1.69
O  0.0191  0.6948  0.0000  1 Se 1.69
O  0.3052  0.3052  0.3243  1 Se 1.69
O  0.6948  0.0191  0.0000  1 Se 1.69
O  0.9809  0.9809  0.6757  1 Se 1.69

Its space group is I-42m (121). The density of states at the Fermi level comes out at 0.08 states/eV/f.u. The value obtained for the total magnetization is 0.000 μB/atom. Its crystal system is tetragonal.

Short version: Q, P, most stable first.